## HWS2Cl (PBE)

Data for a geometry-optimized HWS2Cl structure.

## Properties
Crystal system: tetragonal
Space group: P4/mmm
E above lowest polymorph: 815 meV/atom

Geometry as POSCAR:
```
HWS2Cl
1.0
3.8438 0.0000 0.0000
0.0000 3.8438 0.0000
0.0000 0.0000 4.5742
H W S Cl
1 1 2 1
Cartesian
0.0000 0.0000 0.0000
1.9219 1.9219 2.2871
0.0000 1.9219 0.0000
1.9219 0.0000 0.0000
0.0000 0.0000 2.2871
```

***

## H3WS2Cl6 (PBE)

Data for a geometry-optimized H3WS2Cl6 structure.

## Properties
Crystal system: monoclinic
Space group: C2/m

Geometry as POSCAR:
```
H3WS2Cl6
1.0
5.1893 -3.1022 0.0000
5.1893 3.1022 0.0000
-2.7105 0.0000 8.7141
H W S Cl
3 1 2 6
Cartesian
0.0000 0.0000 0.0000
2.5947 1.5511 0.0000
2.5947 -1.5511 0.0000
3.8341 0.0000 4.3571
-0.9637 0.0000 8.7044
8.6318 0.0000 0.0098
2.4995 1.5871 3.4109
5.1686 1.5871 5.3032
2.5921 0.0000 6.3190
5.0761 0.0000 2.3952
2.4995 -1.5871 3.4109
5.1686 -1.5871 5.3032
```

***

## YHS2Cl (PBE)

Data for a geometry-optimized YHS2Cl structure.

## Properties
Crystal system: tetragonal
Space group: P4/mmm
E above lowest polymorph: 272 meV/atom

Geometry as POSCAR:
```
YHS2Cl
1.0
5.3793 0.0000 0.0000
0.0000 5.3793 0.0000
0.0000 0.0000 5.3375
Y H S Cl
1 1 2 1
Cartesian
0.0000 0.0000 0.0000
2.6897 2.6897 2.6687
0.0000 2.6897 0.0000
2.6897 0.0000 0.0000
0.0000 0.0000 2.6687
```

***

## YHS2Cl (PBE)

Data for a geometry-optimized YHS2Cl structure.

## Properties
Crystal system: tetragonal
Space group: P4/mmm
E above lowest polymorph: 0 meV/atom

Geometry as POSCAR:
```
YHS2Cl
1.0
4.0434 0.0000 0.0000
0.0000 4.0434 0.0000
0.0000 0.0000 4.8979
Y H S Cl
1 1 2 1
Cartesian
0.0000 0.0000 0.0000
2.0217 2.0217 2.4490
0.0000 2.0217 2.4490
2.0217 0.0000 2.4490
2.0217 2.0217 0.0000
```

***

## ZnHSCl2 (PBE)

Data for a geometry-optimized ZnHSCl2 structure.

## Properties
Crystal system: tetragonal
Space group: P4/mmm
E above lowest polymorph: 40 meV/atom

Geometry as POSCAR:
```
ZnHSCl2
1.0
4.9368 0.0000 0.0000
0.0000 4.9368 0.0000
0.0000 0.0000 4.8227
Zn H S Cl
1 1 1 2
Cartesian
0.0000 0.0000 0.0000
2.4684 2.4684 2.4113
0.0000 0.0000 2.4113
0.0000 2.4684 0.0000
2.4684 0.0000 0.0000
```

***

## ZnHSCl2 (PBE)

Data for a geometry-optimized ZnHSCl2 structure.

## Properties
Crystal system: tetragonal
Space group: P4/mmm
E above lowest polymorph: 0 meV/atom

Geometry as POSCAR:
```
ZnHSCl2
1.0
5.0758 0.0000 0.0000
0.0000 5.0758 0.0000
0.0000 0.0000 3.2680
Zn H S Cl
1 1 1 2
Cartesian
0.0000 0.0000 0.0000
2.5379 2.5379 1.6340
2.5379 2.5379 0.0000
0.0000 2.5379 1.6340
2.5379 0.0000 1.6340
```

***

## ZrHS2Cl (PBE)

Data for a geometry-optimized ZrHS2Cl structure.

## Properties
Crystal system: tetragonal
Space group: P4/mmm
E above lowest polymorph: 0 meV/atom

Geometry as POSCAR:
```
ZrHS2Cl
1.0
4.9778 0.0000 0.0000
0.0000 4.9778 0.0000
0.0000 0.0000 5.1525
Zr H S Cl
1 1 2 1
Cartesian
0.0000 0.0000 0.0000
2.4889 2.4889 2.5762
0.0000 2.4889 0.0000
2.4889 0.0000 0.0000
0.0000 0.0000 2.5762
```

***

## ZrHS2Cl (PBE)

Data for a geometry-optimized ZrHS2Cl structure.

## Properties
Crystal system: tetragonal
Space group: P4/mmm
E above lowest polymorph: 335 meV/atom

Geometry as POSCAR:
```
ZrHS2Cl
1.0
3.9324 0.0000 0.0000
0.0000 3.9324 0.0000
0.0000 0.0000 4.7270
Zr H S Cl
1 1 2 1
Cartesian
0.0000 0.0000 0.0000
1.9662 1.9662 2.3635
0.0000 1.9662 2.3635
1.9662 0.0000 2.3635
1.9662 1.9662 0.0000
```

***

## ZrHSCl2 (PBE)

Data for a geometry-optimized ZrHSCl2 structure.

## Properties
Crystal system: tetragonal
Space group: P4/mmm
E above lowest polymorph: 0 meV/atom

Geometry as POSCAR:
```
ZrHSCl2
1.0
5.1255 0.0000 0.0000
0.0000 5.1255 0.0000
0.0000 0.0000 4.8927
Zr H S Cl
1 1 1 2
Cartesian
0.0000 0.0000 0.0000
2.5627 2.5627 2.4463
0.0000 0.0000 2.4463
0.0000 2.5627 0.0000
2.5627 0.0000 0.0000
```

***

## ZrHSCl2 (PBE)

Data for a geometry-optimized ZrHSCl2 structure.

## Properties
Crystal system: tetragonal
Space group: P4/mmm
E above lowest polymorph: 591 meV/atom

Geometry as POSCAR:
```
ZrHSCl2
1.0
4.7848 0.0000 0.0000
0.0000 4.7848 0.0000
0.0000 0.0000 3.4212
Zr H S Cl
1 1 1 2
Cartesian
0.0000 0.0000 0.0000
2.3924 2.3924 1.7106
2.3924 2.3924 0.0000
0.0000 2.3924 1.7106
2.3924 0.0000 1.7106
```

***

## SbHCl3 (PBE)

Data for a geometry-optimized SbHCl3 structure.

## Properties
Crystal system: cubic
Space group: Pm-3m
E above lowest polymorph: 443 meV/atom

Geometry as POSCAR:
```
SbHCl3
1.0
5.2848 0.0000 0.0000
0.0000 5.2848 0.0000
0.0000 0.0000 5.2848
Sb H Cl
1 1 3
Cartesian
0.0000 0.0000 0.0000
2.6424 2.6424 2.6424
0.0000 0.0000 2.6424
0.0000 2.6424 0.0000
2.6424 0.0000 0.0000
```

***

## Sb3HCl (PBE)

Data for a geometry-optimized Sb3HCl structure.

## Properties
Crystal system: cubic
Space group: Pm-3m
E above lowest polymorph: 0 meV/atom

Geometry as POSCAR:
```
Sb3HCl
1.0
4.7622 0.0000 0.0000
0.0000 4.7622 0.0000
0.0000 0.0000 4.7622
Sb H Cl
3 1 1
Cartesian
0.0000 0.0000 2.3811
0.0000 2.3811 0.0000
2.3811 0.0000 0.0000
0.0000 0.0000 0.0000
2.3811 2.3811 2.3811
```

***

no.,final energy (eV/atom)
1,-4.16
2,-3.79
3,-4.24
4,-4.51
5,-2.08
6,-2.12
7,-4.73
8,-4.39
9,-4.64
10,-4.05
11,-2.78
12,-3.10